TlAg2Au: optimized geometry, PBE.

Geometry as POSCAR:
```
TlAg2Au
1.0
5.196 0.079 -0.047
4.281 2.947 -0.047
0.960 0.306 5.431
Ag Au Tl
2 1 1
Cartesian
9.432 3.011 0.005 Ag
5.264 1.681 2.568 Ag
2.609 0.833 1.334 Au
7.828 2.499 4.002 Tl
```

Results
**Magnetization**: 0.000 μB per atom
**Formation energy**: 0.085 eV/atom
**E_tot**: -2.751 eV per atom
**ρ**: 12.58 g/cm3
**Volume**: 20.37 Å³ per atom